(1)
Below is In4Sn2Hg9 after structural relaxation, with properties calculated at the PBE level.

Formation energy from the elements in meV/atom: 28
Total magnetic moment in μB/f.u.: 0.00

The structure in CIF format:
```
data_In4Sn2Hg9
_chemical_formula_sum 'In8 Sn4 Hg18'
_symmetry_space_group_name_H-M 'P 1'
_symmetry_Int_Tables_number 1
_cell_length_a 5.939
_cell_length_b 6.037
_cell_length_c 25.865
_cell_angle_alpha 69.16
_cell_angle_beta 74.26
_cell_angle_gamma 69.67
loop_
_symmetry_equiv_pos_as_xyz
'x,y,z'
loop_
_atom_site_label
_atom_site_fract_x
_atom_site_fract_y
_atom_site_fract_z
_atom_site_occupancy
Hg1 0.589 0.053 0.248 1
Hg2 0.847 0.310 0.106 1
Hg3 0.810 0.525 0.690 1
Hg4 0.050 0.731 0.552 1
Hg5 0.899 0.217 0.583 1
Hg6 0.190 0.475 0.310 1
Hg7 0.411 0.947 0.752 1
Hg8 0.950 0.269 0.448 1
Hg9 0.101 0.783 0.417 1
Hg10 0.544 0.035 0.387 1
Hg11 0.836 0.152 0.953 1
Hg12 0.379 0.091 0.907 1
Hg13 0.164 0.848 0.047 1
Hg14 0.730 0.560 0.215 1
Hg15 0.456 0.965 0.613 1
Hg16 0.270 0.440 0.785 1
Hg17 0.153 0.690 0.894 1
Hg18 0.621 0.909 0.093 1
In1 0.625 0.557 0.352 1
In2 0.299 0.357 0.008 1
In3 0.705 0.624 0.852 1
In4 0.701 0.643 0.992 1
In5 0.391 0.294 0.493 1
In6 0.295 0.376 0.148 1
In7 0.375 0.443 0.648 1
In8 0.609 0.706 0.507 1
Sn1 0.845 0.137 0.813 1
Sn2 0.048 0.050 0.293 1
Sn3 0.952 0.950 0.707 1
Sn4 0.155 0.863 0.187 1
```



(2)
Below is In7SnHg12 after structural relaxation, with properties calculated at the PBE level.

Formation energy from the elements in meV/atom: 133
Total magnetic moment in μB/f.u.: 0.00
Offset from the most stable computed form in meV/atom: 88.2

The structure in CIF format:
```
data_In7SnHg12
_chemical_formula_sum 'In7 Sn1 Hg12'
_symmetry_space_group_name_H-M 'P 1'
_symmetry_Int_Tables_number 1
_cell_length_a 9.418
_cell_length_b 9.418
_cell_length_c 9.418
_cell_angle_alpha 109.47
_cell_angle_beta 109.47
_cell_angle_gamma 109.47
loop_
_symmetry_equiv_pos_as_xyz
'x,y,z'
loop_
_atom_site_label
_atom_site_fract_x
_atom_site_fract_y
_atom_site_fract_z
_atom_site_occupancy
Hg1 0.729 0.154 0.884 1
Hg2 0.116 0.271 0.846 1
Hg3 0.271 0.846 0.116 1
Hg4 0.846 0.575 0.729 1
Hg5 0.154 0.425 0.271 1
Hg6 0.271 0.154 0.425 1
Hg7 0.884 0.729 0.154 1
Hg8 0.425 0.271 0.154 1
Hg9 0.154 0.884 0.729 1
Hg10 0.729 0.846 0.575 1
Hg11 0.575 0.729 0.846 1
Hg12 0.846 0.116 0.271 1
In1 0.500 0.000 0.500 1
In2 0.000 0.000 0.500 1
In3 0.500 0.500 0.000 1
In4 0.500 0.000 0.000 1
In5 0.000 0.500 0.000 1
In6 0.000 0.500 0.500 1
In7 0.500 0.500 0.500 1
Sn1 0.000 0.000 0.000 1
```



(3)
Below is InSnHg3 after structural relaxation, with properties calculated at the PBE level.

Formation energy from the elements in meV/atom: 375
Total magnetic moment in μB/f.u.: 0.00
Offset from the most stable computed form in meV/atom: 292.8

The structure in CIF format:
```
data_InSnHg3
_chemical_formula_sum 'In1 Sn1 Hg3'
_symmetry_space_group_name_H-M 'P 1'
_symmetry_Int_Tables_number 1
_cell_length_a 5.514
_cell_length_b 5.514
_cell_length_c 5.514
_cell_angle_alpha 90.00
_cell_angle_beta 90.00
_cell_angle_gamma 90.00
loop_
_symmetry_equiv_pos_as_xyz
'x,y,z'
loop_
_atom_site_label
_atom_site_fract_x
_atom_site_fract_y
_atom_site_fract_z
_atom_site_occupancy
Sn1 0.500 0.500 0.500 1
Hg1 0.000 0.500 0.000 1
Hg2 0.000 0.000 0.500 1
Hg3 0.500 0.000 0.000 1
In1 0.000 0.000 0.000 1
```



(4)
Below is In3Sn2Hg5 after structural relaxation, with properties calculated at the PBE level.

Formation energy from the elements in meV/atom: 9
Total magnetic moment in μB/f.u.: 0.00

The structure in CIF format:
```
data_In3Sn2Hg5
_chemical_formula_sum 'In6 Sn4 Hg10'
_symmetry_space_group_name_H-M 'P 1'
_symmetry_Int_Tables_number 1
_cell_length_a 5.233
_cell_length_b 17.265
_cell_length_c 17.331
_cell_angle_alpha 151.20
_cell_angle_beta 115.23
_cell_angle_gamma 83.97
loop_
_symmetry_equiv_pos_as_xyz
'x,y,z'
loop_
_atom_site_label
_atom_site_fract_x
_atom_site_fract_y
_atom_site_fract_z
_atom_site_occupancy
Hg1 0.921 0.639 0.695 1
Hg2 0.884 0.941 0.603 1
Hg3 0.716 0.576 0.433 1
Hg4 0.778 0.248 0.993 1
Hg5 0.284 0.424 0.567 1
Hg6 0.573 0.859 0.804 1
Hg7 0.116 0.059 0.397 1
Hg8 0.222 0.752 0.007 1
Hg9 0.427 0.141 0.196 1
Hg10 0.079 0.361 0.305 1
Sn1 0.556 0.863 0.324 1
Sn2 0.061 0.361 0.817 1
Sn3 0.444 0.137 0.676 1
Sn4 0.939 0.639 0.183 1
In1 0.221 0.082 0.940 1
In2 0.290 0.749 0.499 1
In3 0.624 0.560 0.901 1
In4 0.376 0.440 0.099 1
In5 0.779 0.918 0.060 1
In6 0.710 0.251 0.501 1
```



(5)
Below is In12SnHg7 after structural relaxation, with properties calculated at the PBE level.

Formation energy from the elements in meV/atom: 65
Total magnetic moment in μB/f.u.: 0.00

The structure in CIF format:
```
data_In12SnHg7
_chemical_formula_sum 'In12 Sn1 Hg7'
_symmetry_space_group_name_H-M 'P 1'
_symmetry_Int_Tables_number 1
_cell_length_a 8.891
_cell_length_b 8.891
_cell_length_c 8.891
_cell_angle_alpha 107.93
_cell_angle_beta 107.93
_cell_angle_gamma 107.93
loop_
_symmetry_equiv_pos_as_xyz
'x,y,z'
loop_
_atom_site_label
_atom_site_fract_x
_atom_site_fract_y
_atom_site_fract_z
_atom_site_occupancy
In1 0.144 0.454 0.458 1
In2 0.542 0.856 0.546 1
In3 0.458 0.144 0.454 1
In4 0.126 0.770 0.375 1
In5 0.546 0.542 0.856 1
In6 0.375 0.126 0.770 1
In7 0.770 0.375 0.126 1
In8 0.625 0.874 0.230 1
In9 0.454 0.458 0.144 1
In10 0.230 0.625 0.874 1
In11 0.856 0.546 0.542 1
In12 0.874 0.230 0.625 1
Hg1 0.925 0.633 0.963 1
Hg2 0.075 0.367 0.037 1
Hg3 0.037 0.075 0.367 1
Hg4 0.963 0.925 0.633 1
Hg5 0.500 0.500 0.500 1
Hg6 0.367 0.037 0.075 1
Hg7 0.633 0.963 0.925 1
Sn1 0.000 0.000 0.000 1
```



(6)
Below is In4SnHg after structural relaxation, with properties calculated at the PBE level.

Formation energy from the elements in meV/atom: 38
Total magnetic moment in μB/f.u.: 0.00
Offset from the most stable computed form in meV/atom: 17.1

The structure in CIF format:
```
data_In4SnHg
_chemical_formula_sum 'In8 Sn2 Hg2'
_symmetry_space_group_name_H-M 'P 1'
_symmetry_Int_Tables_number 1
_cell_length_a 5.472
_cell_length_b 7.061
_cell_length_c 9.763
_cell_angle_alpha 97.61
_cell_angle_beta 106.34
_cell_angle_gamma 106.93
loop_
_symmetry_equiv_pos_as_xyz
'x,y,z'
loop_
_atom_site_label
_atom_site_fract_x
_atom_site_fract_y
_atom_site_fract_z
_atom_site_occupancy
Hg1 0.500 0.000 0.500 1
Hg2 0.000 0.500 0.500 1
In1 0.518 0.407 0.642 1
In2 0.596 0.162 0.897 1
In3 0.404 0.838 0.103 1
In4 0.482 0.593 0.358 1
In5 0.138 0.449 0.838 1
In6 0.980 0.075 0.339 1
In7 0.020 0.925 0.661 1
In8 0.862 0.551 0.162 1
Sn1 0.219 0.218 0.096 1
Sn2 0.781 0.782 0.904 1
```



(7)
Below is In5Sn8Hg after structural relaxation, with properties calculated at the PBE level.

Formation energy from the elements in meV/atom: 92
Total magnetic moment in μB/f.u.: 0.00

The structure in CIF format:
```
data_In5Sn8Hg
_chemical_formula_sum 'In5 Sn8 Hg1'
_symmetry_space_group_name_H-M 'P 1'
_symmetry_Int_Tables_number 1
_cell_length_a 8.257
_cell_length_b 8.257
_cell_length_c 8.257
_cell_angle_alpha 103.40
_cell_angle_beta 103.40
_cell_angle_gamma 122.45
loop_
_symmetry_equiv_pos_as_xyz
'x,y,z'
loop_
_atom_site_label
_atom_site_fract_x
_atom_site_fract_y
_atom_site_fract_z
_atom_site_occupancy
Sn1 0.630 0.938 0.390 1
Sn2 0.547 0.240 0.610 1
Sn3 0.760 0.370 0.308 1
Sn4 0.086 0.078 0.653 1
Sn5 0.566 0.914 0.991 1
Sn6 0.425 0.434 0.347 1
Sn7 0.062 0.453 0.692 1
Sn8 0.922 0.575 0.009 1
In1 0.248 0.993 0.980 1
In2 0.500 0.500 0.000 1
In3 0.013 0.268 0.020 1
In4 0.732 0.752 0.745 1
In5 0.007 0.987 0.255 1
Hg1 0.250 0.750 0.500 1
```



(8)
Below is In3Sn6Hg after structural relaxation, with properties calculated at the PBE level.

Formation energy from the elements in meV/atom: 91
Total magnetic moment in μB/f.u.: 0.00

The structure in CIF format:
```
data_In3Sn6Hg
_chemical_formula_sum 'In6 Sn12 Hg2'
_symmetry_space_group_name_H-M 'P 1'
_symmetry_Int_Tables_number 1
_cell_length_a 9.150
_cell_length_b 9.139
_cell_length_c 9.139
_cell_angle_alpha 109.69
_cell_angle_beta 110.20
_cell_angle_gamma 110.19
loop_
_symmetry_equiv_pos_as_xyz
'x,y,z'
loop_
_atom_site_label
_atom_site_fract_x
_atom_site_fract_y
_atom_site_fract_z
_atom_site_occupancy
In1 0.250 0.512 0.988 1
In2 0.988 0.250 0.512 1
In3 0.012 0.750 0.488 1
In4 0.750 0.488 0.012 1
In5 0.512 0.988 0.250 1
In6 0.488 0.012 0.750 1
Sn1 0.256 0.622 0.359 1
Sn2 0.756 0.859 0.122 1
Sn3 0.877 0.244 0.141 1
Sn4 0.642 0.745 0.378 1
Sn5 0.123 0.756 0.859 1
Sn6 0.623 0.359 0.256 1
Sn7 0.744 0.378 0.641 1
Sn8 0.377 0.641 0.744 1
Sn9 0.142 0.878 0.245 1
Sn10 0.358 0.255 0.622 1
Sn11 0.858 0.122 0.755 1
Sn12 0.244 0.141 0.878 1
Hg1 0.750 0.750 0.750 1
Hg2 0.250 0.250 0.250 1
```



(9)
Below is In2SnHg6 after structural relaxation, with properties calculated at the PBE level.

Formation energy from the elements in meV/atom: 36
Total magnetic moment in μB/f.u.: 0.00
Offset from the most stable computed form in meV/atom: 0.0

The structure in CIF format:
```
data_In2SnHg6
_chemical_formula_sum 'In2 Sn1 Hg6'
_symmetry_space_group_name_H-M 'P 1'
_symmetry_Int_Tables_number 1
_cell_length_a 11.176
_cell_length_b 12.577
_cell_length_c 9.090
_cell_angle_alpha 46.23
_cell_angle_beta 48.12
_cell_angle_gamma 15.21
loop_
_symmetry_equiv_pos_as_xyz
'x,y,z'
loop_
_atom_site_label
_atom_site_fract_x
_atom_site_fract_y
_atom_site_fract_z
_atom_site_occupancy
Hg1 0.357 0.341 0.500 1
Hg2 0.972 0.061 0.129 1
Hg3 0.028 0.311 0.129 1
Hg4 0.972 0.689 0.871 1
Hg5 0.028 0.939 0.871 1
Hg6 0.643 0.659 0.500 1
Sn1 0.000 0.000 0.500 1
In1 0.500 0.129 0.242 1
In2 0.500 0.871 0.758 1
```



(10)
Below is In2Sn4Hg3 after structural relaxation, with properties calculated at the PBE level.

Formation energy from the elements in meV/atom: 49
Total magnetic moment in μB/f.u.: 0.00

The structure in CIF format:
```
data_In2Sn4Hg3
_chemical_formula_sum 'In2 Sn4 Hg3'
_symmetry_space_group_name_H-M 'P 1'
_symmetry_Int_Tables_number 1
_cell_length_a 4.357
_cell_length_b 6.534
_cell_length_c 9.425
_cell_angle_alpha 75.52
_cell_angle_beta 76.63
_cell_angle_gamma 70.52
loop_
_symmetry_equiv_pos_as_xyz
'x,y,z'
loop_
_atom_site_label
_atom_site_fract_x
_atom_site_fract_y
_atom_site_fract_z
_atom_site_occupancy
In1 0.330 0.112 0.229 1
In2 0.670 0.888 0.771 1
Sn1 0.992 0.678 0.337 1
Sn2 0.008 0.322 0.663 1
Sn3 0.339 0.427 0.895 1
Sn4 0.661 0.573 0.105 1
Hg1 0.000 0.000 0.000 1
Hg2 0.335 0.767 0.562 1
Hg3 0.665 0.233 0.438 1
```



(11)
Below is In2SnHg9 after structural relaxation, with properties calculated at the PBE level.

Formation energy from the elements in meV/atom: 28
Total magnetic moment in μB/f.u.: 0.00

The structure in CIF format:
```
data_In2SnHg9
_chemical_formula_sum 'In2 Sn1 Hg9'
_symmetry_space_group_name_H-M 'P 1'
_symmetry_Int_Tables_number 1
_cell_length_a 4.695
_cell_length_b 4.695
_cell_length_c 14.490
_cell_angle_alpha 90.00
_cell_angle_beta 90.00
_cell_angle_gamma 90.00
loop_
_symmetry_equiv_pos_as_xyz
'x,y,z'
loop_
_atom_site_label
_atom_site_fract_x
_atom_site_fract_y
_atom_site_fract_z
_atom_site_occupancy
Hg1 0.000 0.500 0.165 1
Hg2 0.000 0.500 0.835 1
Hg3 0.000 0.500 0.500 1
Hg4 0.500 0.000 0.165 1
Hg5 0.500 0.000 0.835 1
Hg6 0.500 0.500 0.000 1
Hg7 0.500 0.500 0.669 1
Hg8 0.500 0.500 0.331 1
Hg9 0.500 0.000 0.500 1
In1 0.000 0.000 0.667 1
In2 0.000 0.000 0.333 1
Sn1 0.000 0.000 0.000 1
```



(12)
Below is In4SnHg2 after structural relaxation, with properties calculated at the PBE level.

Formation energy from the elements in meV/atom: 83
Total magnetic moment in μB/f.u.: 0.00
Offset from the most stable computed form in meV/atom: 60.2

The structure in CIF format:
```
data_In4SnHg2
_chemical_formula_sum 'In4 Sn1 Hg2'
_symmetry_space_group_name_H-M 'P 1'
_symmetry_Int_Tables_number 1
_cell_length_a 6.709
_cell_length_b 6.437
_cell_length_c 6.437
_cell_angle_alpha 74.24
_cell_angle_beta 58.59
_cell_angle_gamma 58.59
loop_
_symmetry_equiv_pos_as_xyz
'x,y,z'
loop_
_atom_site_label
_atom_site_fract_x
_atom_site_fract_y
_atom_site_fract_z
_atom_site_occupancy
Hg1 0.500 0.500 0.500 1
Hg2 0.000 0.500 0.500 1
Sn1 0.000 0.000 0.000 1
In1 0.500 0.000 0.500 1
In2 0.000 0.000 0.500 1
In3 0.000 0.500 0.000 1
In4 0.500 0.500 0.000 1
```



Which value of total magnetic moment does entry 1 give?
0.00 μB/f.u.